This record from the Alexandria database describes crystalline DyEr5Tl2 at its relaxed geometry. The functional is PBE.

Lattice parameters (Å, degrees): 3.5798 10.3863 12.6383 90.00 90.00 90.00
Last column: nearest neighbours and their distance in Å.
Space group Immm (No. 71)
Asymmetric unit:
Dy 0.0000 0.0000 0.0000  4 Tl 3.52, 2 Dy 3.58, 8 Er 3.73
Er 0.0000 0.2292 0.3672  3 Tl 3.12-3.38, 5 Er 3.36-3.49
Er 0.0000 0.5000 0.0000  2 Tl 3.28, 10 Er 3.42-3.58
Tl 0.0000 0.5000 0.2598  7 Er 3.12-3.38

Computed properties:
- calculated density (g cm⁻³) = 9.948
- N(E_F) (states/eV/f.u.) = 10.38
- E_form (eV/atom) = -0.109
- volume (Å³/cell) = 469.9